[1]
Entry from the Alexandria database: crystalline Pu6ReN12 at its relaxed geometry (PBE).

Properties
Density in kg/m3: 12131
Total magnetization in μB/cell: 19.0
E_form (uncorrected) in eV/atom: -0.832

```
19
Lattice="4.829 2.788 3.081 -4.829 2.788 3.081 0.000 -5.576 3.081" Properties=species:S:1:pos:R:3 pbc="T T T"
Pu -2.557 -2.358 4.716
Pu -3.321 1.035 4.528
Pu 0.764 -3.393 4.528
Pu -0.764 3.393 4.716
Pu 3.321 -1.035 4.716
Pu 2.557 2.358 4.528
Re 0.000 0.000 4.622
N -1.256 -3.939 3.995
N -4.039 -0.882 5.249
N -1.705 -0.348 3.598
N -2.783 3.057 3.995
N 1.154 -1.302 3.598
N -0.551 -1.650 5.646
N 0.551 1.650 3.598
N -1.154 1.302 5.646
N 2.783 -3.057 5.249
N 1.705 0.348 5.646
N 4.039 0.882 3.995
N 1.256 3.939 5.249
```


[2]
Entry from the Alexandria database: crystalline NaTiO3 at its relaxed geometry (PBE).

Properties
Density in kg/m3: 3081
Total magnetization in μB/cell: 0.0
E_form (uncorrected) in eV/atom: -2.325

```
10
Lattice="3.398 0.000 0.000 0.000 6.955 0.000 0.000 0.000 5.422" Properties=species:S:1:pos:R:3 pbc="T T T"
Na 0.000 1.720 0.000
Na 0.000 5.235 0.000
Ti 1.699 0.000 2.754
Ti 1.699 3.478 2.289
O 0.000 0.000 3.703
O 0.000 3.478 1.523
O 1.699 1.424 1.677
O 1.699 2.737 4.068
O 1.699 4.218 4.068
O 1.699 5.531 1.677
```


[3]
Entry from the Alexandria database: crystalline Mn3CrCl8 at its relaxed geometry (PBE).

Properties
Density in kg/m3: 2873
Total magnetization in μB/cell: 19.1
E_form (uncorrected) in eV/atom: -0.998

```
12
Lattice="3.638 -5.357 0.000 3.638 5.357 0.000 0.000 0.000 7.422" Properties=species:S:1:pos:R:3 pbc="T T T"
Mn 0.000 0.000 0.000
Mn 1.819 2.678 5.592
Mn 1.819 -2.678 1.830
Cr 0.000 0.000 3.711
Cl 1.775 0.206 5.583
Cl 3.638 2.945 3.711
Cl 3.638 2.848 0.000
Cl 1.775 -0.206 1.840
Cl 5.500 0.206 1.840
Cl 3.638 -2.848 0.000
Cl 3.638 -2.945 3.711
Cl 5.500 -0.206 5.583
```


[4]
Entry from the Alexandria database: crystalline Mg6PdAu2 at its relaxed geometry (PBE).

Properties
Density in kg/m3: 6371
Final energy in eV for the cell shown: -25.42
Total magnetization in μB/cell: 0.0

```
9
Lattice="4.706 0.000 0.000 -2.353 4.075 0.000 0.000 0.000 8.784" Properties=species:S:1:pos:R:3 pbc="T T T"
Mg 0.000 0.000 1.769
Mg 0.000 0.000 7.015
Mg 0.000 2.717 0.578
Mg 0.000 2.717 3.626
Mg 2.353 1.358 5.158
Mg 2.353 1.358 8.206
Pd 0.000 0.000 4.392
Au 0.000 2.717 6.573
Au 2.353 1.358 2.211
```


- density of number 4 (Mg6PdAu2)?
  6371 kg/m3


- The highest density belongs to which entry?
  Pu6ReN12